Computed, not measured: an optimized crystal structure of LiMnPO4 at the PBE+U level of DFT.

Cell: 5.238 7.991 9.071 Å, 87.31 86.97 77.09°
Space group P-1 (No. 2)
Unique sites:
Li 0.131 0.472 0.145 [2 per cell]
Li 0.171 0.932 0.266 [2 per cell]
Mn 0.231 0.686 0.588 [2 per cell]
Mn 0.313 0.180 0.940 [2 per cell]
P 0.243 0.292 0.617 [2 per cell]
P 0.243 0.780 0.917 [2 per cell]
O 0.002 0.214 0.591 [2 per cell]
O 0.062 0.672 0.002 [2 per cell]
O 0.119 0.850 0.769 [2 per cell]
O 0.142 0.466 0.697 [2 per cell]
O 0.264 0.931 0.019 [2 per cell]
O 0.382 0.328 0.469 [2 per cell]
O 0.434 0.168 0.720 [2 per cell]
O 0.472 0.325 0.102 [2 per cell]

Computed properties:
crystal system = triclinic
volume = 13.19 Å³ per atom
distance to the lowest polymorph of the same formula = 0.049 eV/atom
theoretical density = 2.8 Mg/m³